The following is a PBE calculation of SrCa2Te after structural relaxation, from Alexandria via LeMat-Bulk.

SG: F-43m, No. 216
Crystal system: cubic

```
SrCa2Te
1.0
-0.8555 -5.6567 -1.6765
4.3698 -2.9905 -2.7392
2.8289 -4.4116 2.8418
Ca Sr Te
2 1 1
direct
0.2500 0.2500 0.2500 Ca
0.0000 0.0000 0.0000 Ca
0.5000 0.5000 0.5000 Sr
0.7500 0.7500 0.7500 Te
```



The following is a PBE calculation of SrCa2Te after structural relaxation, from Alexandria via LeMat-Bulk.

SG: P4/mmm, No. 123
Crystal system: tetragonal

```
SrCa2Te
1.0
4.9678 -0.0673 0.0000
0.0673 4.9678 0.0000
0.0000 0.0000 5.9484
Te Sr Ca
1 1 2
direct
0.0000 0.5000 0.5000 Te
0.5000 0.0000 0.5000 Sr
0.0000 0.0000 0.0000 Ca
0.5000 0.5000 0.0000 Ca
```



The following is a PBE calculation of Sr2CaTe after structural relaxation, from Alexandria via LeMat-Bulk.

SG: R-3m, No. 166
Crystal system: trigonal

```
Sr2CaTe
1.0
-9.0916 6.4629 0.4440
-10.5816 3.0120 -1.8923
-10.5007 2.8221 2.5286
Sr Te Ca
2 1 1
direct
0.5197 0.5197 0.5197 Sr
0.9803 0.9803 0.9803 Sr
0.2500 0.2500 0.2500 Te
0.7500 0.7500 0.7500 Ca
```



Energy relative to the elements, uncorrected: -0.33, -0.50, -0.72 (eV per atom)